{"formula": "ZnSb2P", "functional": "GGA-PBE", "state": "optimized geometry", "formation_energy_uncorrected_ev_per_atom": 0.1715, "dos_ef_per_ev_atom": 0.42, "e_above_lowest_polymorph_ev_per_atom": 0.079, "lattice_angstrom": [[8.695, -1.788, 0.004], [8.695, 1.788, 0.004], [8.326, 0.000, 3.078]], "species": ["Sb", "P", "Zn", "Sb"], "frac_coords": [[0.973, 0.973, 0.973], [0.243, 0.243, 0.243], [0.514, 0.514, 0.514], [0.770, 0.770, 0.770]]}


{"formula": "ScTcPt", "functional": "GGA-PBE", "state": "optimized geometry", "dos_ef_per_ev_atom": 0.96, "e_above_lowest_polymorph_ev_per_atom": 0.105, "ef_mev_per_atom": -474, "lattice_angstrom": [[-5.447, 0.626, -1.070], [0.225, -3.177, -3.005], [2.414, -6.131, 6.665]], "species": ["Sc", "Pt", "Tc", "Pt", "Sc", "Sc", "Pt", "Tc", "Sc", "Pt", "Tc", "Tc"], "frac_coords": [[0.378, 0.000, 0.869], [0.644, 0.500, 0.062], [0.124, 0.000, 0.508], [0.644, 0.000, 0.562], [0.954, 0.000, 0.193], [0.378, 0.500, 0.369], [0.460, 0.500, 0.710], [0.903, 0.500, 0.397], [0.954, 0.500, 0.693], [0.460, 0.000, 0.210], [0.903, 0.000, 0.897], [0.124, 0.500, 0.008]]}


{"formula": "Sm3S2N", "functional": "GGA-PBE", "state": "optimized geometry", "formation_energy_uncorrected_ev_per_atom": -1.8100, "dos_ef_per_ev_atom": 0.38, "e_above_lowest_polymorph_ev_per_atom": 0.000, "lattice_angstrom": [[3.761, 0.000, 0.000], [0.000, 5.505, 0.000], [-1.880, -2.753, 5.974]], "species": ["Sm", "Sm", "N", "S", "S", "Sm"], "frac_coords": [[0.141, 0.641, 0.782], [0.859, 0.359, 0.218], [0.500, 0.500, 0.500], [0.174, 0.174, 0.848], [0.826, 0.826, 0.152], [0.500, 0.000, 0.500]]}


{"formula": "Mn4ZnAu", "functional": "GGA-PBE", "state": "optimized geometry", "dos_ef_per_ev_atom": 1.47, "ef_mev_per_atom": 312, "lattice_angstrom": [[0.000, 3.397, 3.397], [3.397, 0.000, 3.397], [3.397, 3.397, 0.000]], "species": ["Au", "Mn", "Mn", "Mn", "Mn", "Zn"], "frac_coords": [[0.000, 0.000, 0.000], [0.624, 0.624, 0.128], [0.128, 0.624, 0.624], [0.624, 0.624, 0.624], [0.624, 0.128, 0.624], [0.250, 0.250, 0.250]]}